1.
An optimized crystal structure of La2GaAgIr, computed with GGA-PBE.

Geometry as CIF:
```
data_La2GaAgIr
_cell_length_a 5.5762
_cell_length_b 5.5762
_cell_length_c 4.7983
_cell_angle_alpha 90.00
_cell_angle_beta 90.00
_cell_angle_gamma 90.00
_symmetry_space_group_name_H-M 'P 4/m m m'
_symmetry_Int_Tables_number 123
_symmetry_space_group_name_Hall '-P 4 2'
loop_
_atom_site_label
_atom_site_type_symbol
_atom_site_fract_x
_atom_site_fract_y
_atom_site_fract_z
_atom_site_occupancy
La1 La 0.0000 0.5000 0.0000 1
Ga1 Ga 0.0000 0.0000 0.5000 1
Ag1 Ag 0.5000 0.5000 0.5000 1
Ir1 Ir 0.0000 0.0000 0.0000 1
```

Calculated values
Relative energy among the computed polymorphs   137 meV/atom
Crystal system   tetragonal

***

2.
An optimized crystal structure of La2Ga4AgIr3, computed with GGA-PBE.

Geometry as CIF:
```
data_La2Ga4AgIr3
_cell_length_a 4.3323
_cell_length_b 4.3323
_cell_length_c 10.5442
_cell_angle_alpha 90.00
_cell_angle_beta 90.00
_cell_angle_gamma 90.00
_symmetry_space_group_name_H-M 'P -4 m 2'
_symmetry_Int_Tables_number 115
loop_
_symmetry_equiv_pos_as_xyz
'x,y,z'
'y,-x,-z'
'-x,-y,z'
'-y,x,-z'
'-x,y,z'
'-y,-x,-z'
'x,-y,z'
'y,x,-z'
loop_
_atom_site_label
_atom_site_type_symbol
_atom_site_fract_x
_atom_site_fract_y
_atom_site_fract_z
_atom_site_occupancy
La1 La 0.0000 0.5000 0.2443 1
Ga1 Ga 0.0000 0.0000 0.0000 1
Ga2 Ga 0.0000 0.5000 0.6320 1
Ga3 Ga 0.5000 0.5000 0.0000 1
Ag1 Ag 0.0000 0.0000 0.5000 1
Ir1 Ir 0.0000 0.5000 0.8698 1
Ir2 Ir 0.5000 0.5000 0.5000 1
```

Calculated values
Crystal system   tetragonal

***

3.
An optimized crystal structure of La2GaAgIr, computed with GGA-PBE.

Geometry as CIF:
```
data_La2GaAgIr
_cell_length_a 7.5977
_cell_length_b 4.5128
_cell_length_c 7.8136
_cell_angle_alpha 90.00
_cell_angle_beta 110.42
_cell_angle_gamma 90.00
_symmetry_space_group_name_H-M 'P 1 21/m 1'
_symmetry_Int_Tables_number 11
loop_
_symmetry_equiv_pos_as_xyz
'x,y,z'
'-x,-y,-z'
'-x,y+1/2,-z'
'x,-y+1/2,z'
loop_
_atom_site_label
_atom_site_type_symbol
_atom_site_fract_x
_atom_site_fract_y
_atom_site_fract_z
_atom_site_occupancy
La1 La 0.1304 0.2500 0.3482 1
La2 La 0.2787 0.2500 0.9538 1
Ga1 Ga 0.4552 0.7500 0.3292 1
Ag1 Ag 0.3386 0.7500 0.6560 1
Ir1 Ir 0.1273 0.7500 0.1005 1
```

Calculated values
Relative energy among the computed polymorphs   0 meV/atom
Crystal system   monoclinic

***

What did we get for E_tot? Answer: -5.35 -5.76 -5.48 eV/atom, in the order shown.
What did we get for calculated density? Answer: 7.2 10.4 8.6 Mg/m³, in the order shown.
What did we get for formation energy? Answer: -427 -622 -564 meV/atom, in the order shown.